Record 1
Compound: Si3SeN
Source: Alexandria
Functional: GGA-PBEsol
Structure: optimized geometry

a b c (Å): 4.1636 4.1636 4.1636
angles (deg): 90.00 90.00 90.00
Sites, in units of the cell vectors:
Si: 0.0000 0.0000 0.5000
Si: 0.0000 0.5000 0.0000
Si: 0.5000 0.0000 0.0000
Se: 0.5000 0.5000 0.5000
N: 0.0000 0.0000 0.0000



Record 2
Compound: SiSnSe2N
Source: Alexandria
Functional: GGA-PBEsol
Structure: optimized geometry

a b c (Å): 5.2504 5.2504 3.9527
angles (deg): 90.00 90.00 90.00
Sites, in units of the cell vectors:
Si: 0.0000 0.0000 0.0000
Sn: 0.5000 0.5000 0.5000
Se: 0.0000 0.5000 0.5000
Se: 0.5000 0.0000 0.5000
N: 0.5000 0.5000 0.0000



Record 3
Compound: TlSiSe2N
Source: Alexandria
Functional: GGA-PBEsol
Structure: optimized geometry

a b c (Å): 5.3423 5.3423 4.1383
angles (deg): 90.00 90.00 90.00
Sites, in units of the cell vectors:
Tl: 0.0000 0.0000 0.0000
Si: 0.5000 0.5000 0.5000
Se: 0.0000 0.5000 0.0000
Se: 0.5000 0.0000 0.0000
N: 0.0000 0.0000 0.5000



Record 4
Compound: TlSiSeN2
Source: Alexandria
Functional: GGA-PBEsol
Structure: optimized geometry

a b c (Å): 3.6694 3.6694 5.4517
angles (deg): 90.00 90.00 90.00
Sites, in units of the cell vectors:
Tl: 0.0000 0.0000 0.0000
Si: 0.5000 0.5000 0.5000
Se: 0.5000 0.5000 0.0000
N: 0.0000 0.5000 0.5000
N: 0.5000 0.0000 0.5000



Record 5
Compound: ZrSiSeN2
Source: Alexandria
Functional: GGA-PBEsol
Structure: optimized geometry

a b c (Å): 3.6758 3.6758 4.7670
angles (deg): 90.00 90.00 90.00
Sites, in units of the cell vectors:
Zr: 0.0000 0.0000 0.0000
Si: 0.5000 0.5000 0.5000
Se: 0.5000 0.5000 0.0000
N: 0.0000 0.5000 0.5000
N: 0.5000 0.0000 0.5000



Record 6
Compound: Sn3SeN
Source: Alexandria
Functional: GGA-PBEsol
Structure: optimized geometry

a b c (Å): 5.5102 5.5102 5.5102
angles (deg): 90.00 90.00 90.00
Sites, in units of the cell vectors:
Sn: 0.0000 0.0000 0.5000
Sn: 0.0000 0.5000 0.0000
Sn: 0.5000 0.0000 0.0000
Se: 0.0000 0.0000 0.0000
N: 0.5000 0.5000 0.5000



Sequential calculated total energy output: -0.388 -0.320 -0.263 -0.393 -0.531 -0.262 Ry/atom